(1)
# MgNbH

A relaxed MgNbH crystal (GGA-PBE, Alexandria).

Cell: 2.899 2.899 4.834 Å, 90.00 90.00 89.78°
Atoms (fractional coordinates):
Mg 0.500 0.500 0.048
H 0.500 0.500 0.510
Nb 0.000 0.000 0.553

SG	Cmm2, No. 35

***

(2)
# HfTiAu

A relaxed HfTiAu crystal (GGA-PBE, Alexandria).

Cell: 4.193 3.443 4.524 Å, 90.00 90.00 90.00°
Atoms (fractional coordinates):
Au 0.500 0.500 0.000
Hf 0.500 0.000 0.500
Ti 0.000 0.000 0.000

DFT formation energy	16.8	kJ/mol of atoms
SG	Pmmm, No. 47

***

(3)
# Nd8Ir3I4N

A relaxed Nd8Ir3I4N crystal (GGA-PBE, Alexandria).

Cell: 8.272 9.384 8.270 Å, 116.13 120.01 90.00°
Atoms (fractional coordinates):
Ir 0.000 0.500 0.500
Ir 0.500 0.500 0.500
Ir 0.500 0.500 0.000
Nd 0.729 0.688 0.458
Nd 0.216 0.676 0.432
Nd 0.217 0.676 0.960
Nd 0.743 0.676 0.960
Nd 0.784 0.324 0.568
Nd 0.257 0.324 0.040
Nd 0.271 0.312 0.542
Nd 0.783 0.324 0.040
I 0.500 0.000 0.500
I 0.500 0.000 0.000
I 0.000 0.000 0.500
I 0.000 0.000 0.000
N 0.000 0.500 0.000

formation energy without anion corrections	-960	meV per atom
SG	R-3m, No. 166

***

| no. | raw total energy (eV/atom) |
| --- | --- |
| 1 | -5.006 |
| 2 | -6.868 |
| 3 | -5.913 |